VASP calculation (PBE) on a relaxed structure of Mn2FeAu.

Cell lengths 2.7870, 2.7870, 26.2411 Å; angles 90.00, 90.00, 120.00 degrees
Space group R-3m (No. 166, hexagonal axes)
Unique sites:
Mn1 0.0000 0.0000 0.2450 (multiplicity 6)
Fe1 0.0000 0.0000 0.5000 (multiplicity 3)
Au1 0.0000 0.0000 0.0000 (multiplicity 3)

Summary:
**N(E_F)**: 0.692 states/eV/atom
**Formation enthalpy at 0 K**: 0.29 eV per atom